Compound: HoErCo2B2N2
Source: the Open Quantum Materials Database
Functional: PBE
Structure: optimized geometry

a b c (Å): 3.4544 3.4544 7.4337
angles (deg): 90.00 90.00 90.00
Atoms (fractional coordinates):
Ho 0.0000 0.0000 0.0000
Er 0.5000 0.5000 0.3346
Co 0.0000 0.5000 0.6672
Co 0.5000 0.0000 0.6672
B 0.0000 0.0000 0.5159
B 0.5000 0.5000 0.8189
N 0.0000 0.0000 0.3126
N 0.5000 0.5000 0.0225

symmetry	P4mm
volume	88.70	Å³/cell
total moment	0.01	μB/f.u.
E	-62.30	eV per cell